(1)
A plane-wave DFT calculation with PBEsol was carried out for a relaxed ZrCdFe2 crystal.

abc: 3.190 4.290 8.961
angles: 90.00 90.00 90.00
Space group Imm2 (No. 44)
Inequivalent atoms, fractional coordinates:
Zr  0.000  0.000  0.000 [2 per cell]
Cd  0.000  0.500  0.777 [2 per cell]
Fe  0.000  0.000  0.534 [2 per cell]
Fe  0.000  0.500  0.231 [2 per cell]

As for the density of states at the Fermi level: 0.64 states/eV per atom. The calculated formation energy comes out at 100 meV per atom.

(2)
A plane-wave DFT calculation with PBEsol was carried out for a relaxed Be2HgW crystal.

abc: 2.783 3.373 5.764
angles: 90.00 90.00 90.00
Space group Pmmm (No. 47)
Inequivalent atoms, fractional coordinates:
Be  0.000  0.000  0.201 [2 per cell]
Hg  0.500  0.500  0.500 [1 per cell]
W  0.500  0.500  0.000 [1 per cell]

As for the density of states at the Fermi level: 0.43 states/eV per atom. The calculated formation energy comes out at 358 meV per atom.

(3)
A plane-wave DFT calculation with PBEsol was carried out for a relaxed OsRu3 crystal.

abc: 2.699 8.530 4.673
angles: 90.00 90.00 90.00
Space group Imm2 (No. 44)
Inequivalent atoms, fractional coordinates:
Os  0.000  0.000  0.000 [2 per cell]
Ru  0.000  0.250  0.667 [4 per cell]
Ru  0.000  0.500  0.001 [2 per cell]

As for the density of states at the Fermi level: 0.74 states/eV per atom. The calculated formation energy comes out at -7 meV per atom.

(4)
A plane-wave DFT calculation with PBEsol was carried out for a relaxed MnSb2Au crystal.

abc: 7.889 3.596 6.073
angles: 90.00 104.59 90.00
Space group C2/m (No. 12)
Inequivalent atoms, fractional coordinates:
Mn  0.000  0.000  0.000 [2 per cell]
Sb  0.237  0.500  0.225 [4 per cell]
Au  0.000  0.500  0.500 [2 per cell]

The value obtained for the energy relative to the lowest polymorph listed for this composition is 139 meV/atom. As for the density of states at the Fermi level: 0.66 states/eV per atom. The calculation puts the raw formation energy at 194.1 meV per atom.

(5)
A plane-wave DFT calculation with PBEsol was carried out for a relaxed MgCo2IrO crystal.

abc: 4.682 4.682 3.684
angles: 90.00 90.00 90.00
Space group P4/mmm (No. 123)
Inequivalent atoms, fractional coordinates:
Mg  0.000  0.000  0.000 [1 per cell]
Co  0.000  0.500  0.500 [2 per cell]
Ir  0.500  0.500  0.500 [1 per cell]
O  0.500  0.500  0.000 [1 per cell]

As for the density of states at the Fermi level: 1.18 states/eV per atom. The calculation puts the raw formation energy at 631.2 meV per atom.

(6)
A plane-wave DFT calculation with PBEsol was carried out for a relaxed Be2PBr crystal.

abc: 3.709 7.364 6.526
angles: 90.00 90.00 90.00
Space group Cmm2 (No. 35)
Inequivalent atoms, fractional coordinates:
Be  0.000  0.000  0.000 [2 per cell]
Be  0.000  0.500  0.203 [2 per cell]
P  0.000  0.500  0.896 [2 per cell]
Br  0.000  0.000  0.398 [2 per cell]

The value obtained for the energy relative to the lowest polymorph listed for this composition is 409 meV/atom. The calculation puts the raw formation energy at 18.5 meV per atom.

(7)
A plane-wave DFT calculation with PBEsol was carried out for a relaxed ReNi2Te crystal.

abc: 3.162 3.162 5.583
angles: 90.00 90.00 90.00
Space group P4mm (No. 99)
Inequivalent atoms, fractional coordinates:
Re  0.000  0.000  0.000 [1 per cell]
Ni  0.000  0.000  0.551 [1 per cell]
Ni  0.500  0.500  0.760 [1 per cell]
Te  0.500  0.500  0.297 [1 per cell]

As for the density of states at the Fermi level: 1.07 states/eV per atom. The calculation puts the raw formation energy at 339.7 meV per atom.

(8)
A plane-wave DFT calculation with PBEsol was carried out for a relaxed UAsS crystal.

abc: 3.797 3.797 7.918
angles: 90.00 90.00 90.00
Space group P4/nmm (No. 129, origin choice 2)
Inequivalent atoms, fractional coordinates:
U  0.250  0.250  0.206 [2 per cell]
As  0.250  0.750  0.500 [2 per cell]
S  0.250  0.250  0.860 [2 per cell]

As for the density of states at the Fermi level: 1.62 states/eV per atom. The calculation puts the raw formation energy at -1116.8 meV per atom.

no.,magnetic moment (μB per formula unit)
1,3.03
2,0.00
3,0.00
4,3.21
5,3.51
6,0.00
7,0.00
8,2.22